Below is a relaxed structure of AgWO2, with properties calculated at the GGA+U level.

Unit cell a=7.2828 b=7.2828 c=7.2828 alpha=23.98 beta=23.98 gamma=23.98
Positions (direct):
Ag1 0.5000 0.5000 0.5000
O1 0.0868 0.0868 0.0868
O2 0.9132 0.9132 0.9132
W1 0.0000 0.0000 0.0000

The density of states at the Fermi level comes out at 0.423 states/eV/atom. Its total DFT energy (no corrections) is -5.38 eV/atom. For the relative energy among the computed polymorphs, the calculation gives 0.3925 eV/atom.